A relaxed structure of AsOs2Pb. Source: Alexandria, functional GGA-PBE.

Output
The value obtained for the distance to the lowest polymorph of the same formula is 392.2 meV/atom. For the mass density, the calculation gives 14099 kg/m³.

Unit cell a=2.924 b=5.123 c=10.421 alpha=90.00 beta=90.00 gamma=90.00
Space group Cmm2 (No. 35)
Inequivalent atoms, fractional coordinates:
As 0.000 0.000 0.000
Os 0.000 0.000 0.408
Os 0.000 0.500 0.201
Pb 0.000 0.500 0.657

=====

A relaxed structure of Tm2Al8Ag. Source: Alexandria, functional GGA-PBE.

Output
The total DFT energy (no corrections) comes out at -4.059 eV/atom. For the mass density, the calculation gives 5261 kg/m³.

Unit cell a=4.314 b=4.314 c=11.220 alpha=90.00 beta=90.00 gamma=90.00
Space group P4/mmm (No. 123)
Inequivalent atoms, fractional coordinates:
Tm 0.000 0.000 0.183
Al 0.000 0.500 0.000
Al 0.000 0.500 0.366
Al 0.500 0.500 0.191
Ag 0.000 0.000 0.500

=====

A relaxed structure of YPuSe2Cl. Source: Alexandria, functional GGA-PBE.

Output
The formation energy (no corrections) comes out at -1.6913 eV per atom. For the mass density, the calculation gives 7067 kg/m³.

Unit cell a=4.194 b=4.194 c=14.058 alpha=90.00 beta=90.00 gamma=90.00
Space group P4/nmm (No. 129, origin choice 2)
Inequivalent atoms, fractional coordinates:
Y 0.250 0.250 0.102
Pu 0.250 0.250 0.643
Se 0.250 0.250 0.299
Se 0.250 0.250 0.892
Cl 0.250 0.750 0.500

=====

A relaxed structure of Pr5Tl4Cd. Source: Alexandria, functional GGA-PBE.

Output
The total DFT energy (no corrections) comes out at -3.805 eV/atom. For the mass density, the calculation gives 8975 kg/m³.

Unit cell a=3.890 b=3.890 c=19.989 alpha=90.00 beta=90.00 gamma=90.00
Space group P4/mmm (No. 123)
Inequivalent atoms, fractional coordinates:
Pr 0.000 0.000 0.000
Pr 0.000 0.000 0.202
Pr 0.000 0.000 0.404
Tl 0.500 0.500 0.101
Tl 0.500 0.500 0.304
Cd 0.500 0.500 0.500

=====

A relaxed structure of InCuAu. Source: Alexandria, functional GGA-PBE.

Output
The value obtained for the distance to the lowest polymorph of the same formula is 83.6 meV/atom. For the mass density, the calculation gives 11425 kg/m³.

Unit cell a=4.4717 b=4.4717 c=3.1502 alpha=90.00 beta=90.00 gamma=120.00
Space group P3m1 (No. 156)
Inequivalent atoms, fractional coordinates:
In 0.0000 0.0000 0.0000
Cu 0.3333 0.6667 0.6117
Au 0.6667 0.3333 0.4413